The following is a GGA-PBE calculation of LaTmTe3Pd after structural relaxation, from Alexandria.

The structure belongs to space group P2_1/m (No. 11); the cell edges are 8.227, 4.279 and 10.186 Å and the angles 90.00°, 102.40° and 90.00°. Symmetry generates all atoms from La at (0.198, 0.250, 0.293), Tm at (0.317, 0.750, 0.824), Te at (0.074, 0.250, 0.862), Te at (0.274, 0.750, 0.530), Te at (0.411, 0.750, 0.143) and Pd at (0.083, 0.250, 0.595).

As for the raw formation energy: -1.30 eV per atom. For the density of states at the Fermi level, the calculation gives 0.8 states/eV per cell. The calculation puts the total magnetic moment at 0.00 Bohr magnetons per cell.



The following is a GGA-PBE calculation of BeTe2Se after structural relaxation, from Alexandria.

The structure belongs to space group Pmmm (No. 47); the cell edges are 3.814, 3.871 and 8.875 Å and the angles 90.00°, 90.00° and 90.00°. Symmetry generates all atoms from Be at (0.000, 0.000, 0.000), Te at (0.500, 0.000, 0.500), Te at (0.500, 0.500, 0.000) and Se at (0.000, 0.500, 0.500).

As for the raw formation energy: 0.39 eV per atom. For the density of states at the Fermi level, the calculation gives 3.3 states/eV per cell. The calculation puts the total magnetic moment at 0.00 Bohr magnetons per cell. Its energy above the most stable polymorph in this dataset is 395.7 meV/atom.



The following is a GGA-PBE calculation of CaCeIn after structural relaxation, from Alexandria.

The structure belongs to space group C2/m (No. 12); the cell edges are 10.721, 4.728 and 7.566 Å and the angles 90.00°, 109.77° and 90.00°. Symmetry generates all atoms from Ca at (0.162, 0.000, 0.089), Ce at (0.133, 0.000, 0.559) and In at (0.005, 0.500, 0.247).

For the density of states at the Fermi level, the calculation gives 22.0 states/eV per cell. The energy of formation comes out at -0.234 eV per atom. The calculation puts the total magnetic moment at 3.55 Bohr magnetons per cell. Its energy above the most stable polymorph in this dataset is 59.8 meV/atom.